Density functional theory data (PBE) for a relaxed MoRuW2 crystal.

## Properties
Raw total energy (eV per cell): -45.5
Polymorph energy (0 for the lowest one) (eV per formula unit): 0.05
Space group: No. 44
V (A^3/atom): 15.6

abc: 5.2181 5.2181 5.2181
angles: 144.92 129.21 63.22
With the nearest neighbours (Å) after each atom.
Sites, in units of the cell vectors:
Mo  0.5093  0.5093  0.0000  6 W 2.66-2.74, 2 Ru 2.81
Ru  0.2475  0.7475  0.5000  6 W 2.74-2.76, 2 Mo 2.81
W  0.9918  0.9918  0.0000  2 W 2.65, 4 Mo 2.74, 2 Ru 2.76
W  0.7514  0.2514  0.5000  2 W 2.65, 2 Mo 2.66, 4 Ru 2.74